## HoNiGe2 (GGA-PBE)

Data for a relaxed HoNiGe2 crystal.

It has space group R-3m (No. 166, hexagonal axes), with a = 4.0115 Å, b = 4.0115 Å, c = 15.3314 Å, α = 90.00°, β = 90.00° and γ = 120.00°. Symmetry generates all atoms from Ho at (0.0000, 0.0000, 0.0000), Ni at (0.0000, 0.0000, 0.5000) and Ge at (0.0000, 0.0000, 0.2189).

For the volume, the calculation gives 17.8 A^3/atom. The crystal system is trigonal. The value obtained for the total energy is -5.5326 eV per atom. The energy of formation from the pure elements comes out at -0.634 eV per atom.

---

## HoNi3Ge2 (GGA-PBE)

Data for a relaxed HoNi3Ge2 crystal.

It has space group C2/m (No. 12), with a = 14.877 Å, b = 3.869 Å, c = 7.089 Å, α = 90.00°, β = 115.85° and γ = 90.00°. Symmetry generates all atoms from Ho at (0.151, 0.000, 0.069), Ni at (0.040, 0.000, 0.378), Ni at (0.091, 0.500, 0.666), Ni at (0.186, 0.500, 0.448), Ge at (0.021, 0.500, 0.188) and Ge at (0.192, 0.000, 0.686).

For the volume, the calculation gives 15.3 A^3/atom. The crystal system is monoclinic. The value obtained for the total energy is -5.7418 eV per atom. The energy of formation from the pure elements comes out at -0.549 eV per atom.

---

## HoNiGe (GGA-PBE)

Data for a relaxed HoNiGe crystal.

It has space group Pnma (No. 62), with a = 6.901 Å, b = 4.229 Å, c = 7.258 Å, α = 90.00°, β = 90.00° and γ = 90.00°. Symmetry generates all atoms from Ho at (0.009, 0.250, 0.206), Ni at (0.193, 0.750, 0.418) and Ge at (0.197, 0.250, 0.589).

For the volume, the calculation gives 17.7 A^3/atom. The crystal system is orthorhombic. The value obtained for the total energy is -5.7990 eV per atom. The energy of formation from the pure elements comes out at -0.807 eV per atom.

---

## Ho2Ni7Ge (GGA-PBE)

Data for a relaxed Ho2Ni7Ge crystal.

It has space group P-4m2 (No. 115), with a = 3.762 Å, b = 3.762 Å, c = 10.496 Å, α = 90.00°, β = 90.00° and γ = 90.00°. Symmetry generates all atoms from Ho at (0.000, 0.500, 0.233), Ni at (0.000, 0.000, 0.000), Ni at (0.000, 0.500, 0.640), Ni at (0.000, 0.500, 0.859), Ni at (0.500, 0.500, 0.000), Ni at (0.500, 0.500, 0.500) and Ge at (0.000, 0.000, 0.500).

For the volume, the calculation gives 14.9 A^3/atom. The crystal system is tetragonal. The value obtained for the total energy is -5.7349 eV per atom. The energy of formation from the pure elements comes out at -0.311 eV per atom.